Compound: Pm2Nd4Y
Source: Alexandria
Functional: PBE
Structure: relaxed

abc: 3.6775 3.6775 62.0894
angles: 90.00 90.00 120.00
Space group R-3m (No. 166, hexagonal axes)
Asymmetric unit:
Pm  0.0000  0.0000  0.1905
Nd  0.0000  0.0000  0.0952
Nd  0.0000  0.0000  0.3805
Y  0.0000  0.0000  0.0000

## Properties
Magnetization in μB/atom: 0.0000
N(E_F) in states/eV per atom: 1.245
Energy of formation in eV/atom: 0.007
Energy in eV per atom: -4.998

***

Compound: Pm2Nd5Y2
Source: Alexandria
Functional: PBE
Structure: relaxed

abc: 3.6016 5.7347 15.3851
angles: 100.74 90.03 90.03
Space group P-1 (No. 2)
Asymmetric unit:
Pm  0.9995  0.1741  0.3488
Nd  0.0000  0.5000  0.0000
Nd  0.4982  0.0620  0.1243
Nd  0.5005  0.2856  0.5709
Y  0.0021  0.3886  0.7767

## Properties
Magnetization in μB/atom: 0.0000
N(E_F) in states/eV per atom: 1.604
Energy of formation in eV/atom: 0.044
Energy in eV per atom: -5.097
Distance to the lowest polymorph of the same formula in meV/atom: 0